Entry 1:
The following is a GGA-PBE calculation of crystalline Sm4Dy3 at its relaxed geometry, from Alexandria.

Calculated values
DOS(E_F) = 8.901 states/eV/f.u.
Energy above the lowest structure with this stoichiometry = 0 meV per atom
Space group = Immm
Formation enthalpy at 0 K = 0.016 eV/atom

Cell and atoms, written as POSCAR:
```
Sm4Dy3
1.0
3.5869 0.0000 0.0000
0.0000 5.0788 0.0000
0.0000 0.0000 25.1312
Sm Dy
8 6
Direct
0.0000 0.0000 0.0711 Sm
0.0000 0.0000 0.2138 Sm
0.0000 0.0000 0.7862 Sm
0.0000 0.0000 0.9289 Sm
0.5000 0.5000 0.2862 Sm
0.5000 0.5000 0.4289 Sm
0.5000 0.5000 0.5711 Sm
0.5000 0.5000 0.7138 Sm
0.0000 0.0000 0.3575 Dy
0.0000 0.0000 0.5000 Dy
0.0000 0.0000 0.6425 Dy
0.5000 0.5000 0.0000 Dy
0.5000 0.5000 0.1425 Dy
0.5000 0.5000 0.8575 Dy
```


Entry 2:
The following is a GGA-PBE calculation of crystalline Sm7Dy5 at its relaxed geometry, from Alexandria.

Calculated values
DOS(E_F) = 20.571 states/eV/f.u.
Energy above the lowest structure with this stoichiometry = 171 meV per atom
Space group = C2/m
Formation enthalpy at 0 K = 0.177 eV/atom

Cell and atoms, written as POSCAR:
```
Sm7Dy5
1.0
4.8247 -2.8925 0.0000
4.8247 2.8925 0.0000
-3.4921 0.0000 14.3354
Sm Dy
7 5
Direct
0.0000 0.0000 0.0000 Sm
0.1813 0.1813 0.5832 Sm
0.2596 0.2596 0.8288 Sm
0.4601 0.4601 0.2872 Sm
0.5399 0.5399 0.7128 Sm
0.7404 0.7404 0.1712 Sm
0.8187 0.8187 0.4168 Sm
0.1249 0.1249 0.3005 Dy
0.3589 0.3589 0.0603 Dy
0.5000 0.5000 0.5000 Dy
0.6411 0.6411 0.9397 Dy
0.8751 0.8751 0.6995 Dy
```